TlSn2Te4Au: relaxed, PBE.

symmetry	No. 63
ΔE_f (raw)	-0.15	eV/atom

Lattice parameters (Å, degrees): 4.5163 7.0271 17.0859 90.00 90.00 108.74
Fractional positions:
Te: 0.0000 0.0000 0.5000
Te: 0.7105 0.4209 0.6023
Au: 0.8047 0.6095 0.7500
Au: 0.1953 0.3905 0.2500
Te: 0.5780 0.1561 0.2500
Te: 0.2895 0.5791 0.1023
Te: 0.7105 0.4209 0.8977
Sn: 0.3637 0.7275 0.5705
Sn: 0.6363 0.2725 0.0705
Sn: 0.6363 0.2725 0.4295
Te: 0.4220 0.8439 0.7500
Te: 0.0000 0.0000 0.0000
Sn: 0.3637 0.7275 0.9295
Te: 0.2895 0.5791 0.3977
Tl: 0.8812 0.7624 0.2500
Tl: 0.1188 0.2376 0.7500

=====

Zr3Be: relaxed, PBE.

symmetry	No. 223
calculated formation energy	0.080	eV per atom

Lattice parameters (Å, degrees): 5.4103 5.4103 5.4103 90.00 90.00 90.00
Fractional positions:
Be: 0.0000 0.0000 0.0000
Zr: 0.5000 0.0000 0.7500
Zr: 0.2500 0.5000 0.0000
Zr: 0.0000 0.7500 0.5000
Zr: 0.0000 0.2500 0.5000
Be: 0.5000 0.5000 0.5000
Zr: 0.5000 0.0000 0.2500
Zr: 0.7500 0.5000 0.0000

=====

CdSiAu: relaxed, PBE.

symmetry	No. 156
ΔE_f (raw)	0.14	eV/atom

Lattice parameters (Å, degrees): 3.2811 3.2811 6.1969 90.00 90.00 120.00
Fractional positions:
Si: 0.6667 0.3333 0.6941
Au: 0.0000 0.0000 0.9694
Cd: 0.3333 0.6667 0.3366

=====

Ce11Sn9Ru4: relaxed, PBE.

symmetry	No. 65
calculated formation energy	-0.606	eV per atom

Lattice parameters (Å, degrees): 4.0513 12.6268 12.6268 111.60 90.00 90.00
Last column: magnetic moment on the atom in μB.
Fractional positions:
Ru: 0.5000 0.7584 0.5530  -0.06
Ce: 0.0000 0.0759 0.4192  0.38
Ce: 0.0000 0.1577 0.8423  0.90
Ce: 0.0000 0.6274 0.3726  0.27
Sn: 0.5000 0.7793 0.9250  -0.01
Sn: 0.5000 0.9250 0.7793  -0.01
Sn: 0.5000 0.2207 0.0750  -0.01
Ru: 0.5000 0.5530 0.7584  -0.06
Ce: 0.0000 0.0000 0.0000  0.82
Ce: 0.0000 0.9241 0.5808  0.38
Ru: 0.5000 0.2416 0.4470  -0.06
Sn: 0.5000 0.0750 0.2207  -0.01
Sn: 0.5000 0.3685 0.8438  0.00
Ru: 0.5000 0.4470 0.2416  -0.06
Ce: 0.0000 0.3116 0.3116  0.16
Sn: 0.5000 0.5000 0.5000  0.00
Ce: 0.0000 0.8423 0.1577  0.90
Ce: 0.0000 0.5808 0.9241  0.38
Sn: 0.5000 0.6315 0.1562  0.00
Sn: 0.5000 0.1562 0.6315  0.00
Ce: 0.0000 0.3726 0.6274  0.27
Sn: 0.5000 0.8438 0.3685  0.00
Ce: 0.0000 0.4192 0.0759  0.38
Ce: 0.0000 0.6884 0.6884  0.16

=====

LiCoCl: relaxed, PBE.

symmetry	No. 107
ΔE_f (raw)	0.02	eV/atom

Lattice parameters (Å, degrees): 5.6724 5.6724 5.6724 149.79 149.79 43.25
Last column: magnetic moment on the atom in μB.
Fractional positions:
Li: 0.6503 0.6503 0.0000  -0.02
Co: 0.3451 0.3451 0.0000  1.91
Cl: 0.0046 0.0046 0.0000  0.06

=====

La2CdSi: relaxed, PBE.

symmetry	No. 119
ΔE_f (raw)	-0.34	eV/atom

Lattice parameters (Å, degrees): 6.1224 6.1224 6.1224 136.41 136.41 63.35
Fractional positions:
Si: 0.5000 0.5000 0.0000
La: 0.2500 0.7500 0.5000
La: 0.0000 0.0000 0.0000
Cd: 0.7500 0.2500 0.5000

=====

Listing spin magnetization for the structures above in their given order: 0.000 0.000 0.000 5.978 1.860 0.000 μB/f.u..
Listing uncorrected energy for the structures above in their given order: -0.1259 -0.2669 -0.1126 -0.2342 -0.1324 -0.1611 Ha/atom.